{"formula": "SrZnCl2", "functional": "meta-GGA SCAN", "state": "single point on PBEsol structure", "lattice_angstrom": [[-3.505, -2.614, -0.010], [0.167, -3.888, 1.994], [-3.394, 0.868, 6.770]], "species": ["Sr", "Zn", "Cl", "Cl"], "frac_coords": [[0.500, 0.500, 0.499], [0.257, 0.257, 0.228], [0.969, 0.969, 0.094], [0.773, 0.773, 0.680]], "e_above_lowest_polymorph_mev_per_atom": 242, "n_ef_per_ev_cell": 0.0, "raw_formation_energy_mev_per_atom": -1437, "m_tot_mub_per_cell": 0.0}